Fe2SnH (PBE, relaxed); space-group type = Fm-3m, No. 225; density of states at the Fermi level = 7.3 states/eV/cell; size of the total moment = 4.726 μB per formula unit; raw total energy = -5.2727 eV/atom
1.0
0.000 3.000 3.000
3.000 0.000 3.000
3.000 3.000 0.000
H Sn Fe
1 1 2
Direct
0.000 0.000 0.000 H
0.500 0.500 0.500 Sn
0.250 0.250 0.250 Fe
0.750 0.750 0.750 Fe

PmTmMn4 (PBE, relaxed); space-group type = F-43m, No. 216; density of states at the Fermi level = 7.3 states/eV/cell; size of the total moment = 5.759 μB per formula unit; formation energy from the elements = 187 meV per atom
1.0
-4.305 1.379 -2.488
-4.031 -3.217 -0.159
-4.281 1.094 2.664
Tm Mn Pm
1 4 1
Direct
0.000 0.000 0.000 Tm
0.626 0.626 0.123 Mn
0.626 0.123 0.626 Mn
0.626 0.626 0.626 Mn
0.123 0.626 0.626 Mn
0.250 0.250 0.250 Pm

CsRb2Ge (PBE, relaxed); space-group type = P2_1/c, No. 14; density of states at the Fermi level = 16.8 states/eV/cell; size of the total moment = 0.005 μB per formula unit; formation energy from the elements = 5 meV per atom
1.0
-4.919 0.463 7.221
5.358 -9.371 4.252
5.551 9.307 3.184
Cs Rb Ge
4 8 4
Direct
0.493 0.197 0.541 Cs
0.993 0.303 0.459 Cs
0.507 0.803 0.459 Cs
0.007 0.697 0.541 Cs
0.705 0.002 0.155 Rb
0.205 0.498 0.845 Rb
0.295 0.998 0.845 Rb
0.795 0.502 0.155 Rb
0.655 0.635 0.810 Rb
0.155 0.865 0.190 Rb
0.345 0.365 0.190 Rb
0.845 0.135 0.810 Rb
0.628 0.490 0.469 Ge
0.128 0.010 0.531 Ge
0.372 0.510 0.531 Ge
0.872 0.990 0.469 Ge

Li2AgMo (PBE, relaxed); space-group type = P4/mmm, No. 123; density of states at the Fermi level = 3.9 states/eV/cell; size of the total moment = 0.315 μB per formula unit; formation energy from the elements = 484 meV per atom
1.0
-1.081 3.066 -3.516
-1.274 -3.666 -2.805
-2.464 0.166 0.902
Ag Li Mo
1 2 1
Direct
0.000 0.500 0.500 Ag
0.000 0.000 0.000 Li
0.500 0.500 0.000 Li
0.500 0.000 0.500 Mo

RbCaHoBr6 (PBE, relaxed); raw formation energy = -1935 meV per atom; space-group type = P-31c, No. 163; density of states at the Fermi level = 0.0 states/eV/cell; size of the total moment = 0.000 μB per formula unit
1.0
-6.420 2.843 -2.547
0.334 -2.897 6.876
3.798 13.507 5.507
Rb Ca Ho Br
2 2 2 12
Direct
0.000 0.000 0.000 Rb
0.000 0.000 0.500 Rb
0.333 0.667 0.250 Ca
0.667 0.333 0.750 Ca
0.667 0.333 0.250 Ho
0.333 0.667 0.750 Ho
0.632 0.620 0.142 Br
0.989 0.368 0.142 Br
0.368 0.989 0.642 Br
0.011 0.632 0.858 Br
0.380 0.368 0.358 Br
0.989 0.620 0.358 Br
0.620 0.989 0.858 Br
0.632 0.011 0.358 Br
0.011 0.380 0.642 Br
0.380 0.011 0.142 Br
0.620 0.632 0.642 Br
0.368 0.380 0.858 Br

Tb5DyEr2Tm (PBE, relaxed); space-group type = Cmc2_1, No. 36; density of states at the Fermi level = 29.2 states/eV/cell; size of the total moment = 0.000 μB per formula unit; formation energy from the elements = 153 meV per atom
1.0
5.551 0.000 0.000
-2.776 9.906 0.000
0.000 0.000 10.514
Tb Dy Er Tm
10 2 4 2
Direct
0.389 0.778 0.023 Tb
0.719 0.438 0.809 Tb
0.480 0.960 0.740 Tb
0.300 0.600 0.707 Tb
0.982 0.965 0.522 Tb
0.611 0.222 0.523 Tb
0.281 0.562 0.309 Tb
0.520 0.040 0.240 Tb
0.700 0.400 0.207 Tb
0.018 0.035 0.022 Tb
0.800 0.601 0.511 Dy
0.200 0.399 0.011 Dy
0.886 0.772 0.816 Er
0.110 0.220 0.738 Er
0.114 0.228 0.316 Er
0.890 0.780 0.238 Er
0.588 0.177 0.958 Tm
0.412 0.823 0.458 Tm